Computed, not measured: crystalline RbScAuSe2 at its relaxed geometry at the PBE level of DFT.

The structure in POSCAR format:
```
RbScAuSe2
1.0
5.0228 0.0000 0.0000
0.0000 7.8432 0.6449
0.0000 -1.7770 7.2704
Se Rb Au Sc
4 2 2 2
direct
0.3656 0.7685 0.4630
0.6344 0.2315 0.5370
0.6344 0.7685 0.9630
0.3656 0.2315 0.0370
0.1345 0.5000 0.7500
0.8655 0.5000 0.2500
0.0000 0.0000 0.0000
0.0000 0.0000 0.5000
0.4956 0.0000 0.2500
0.5044 0.0000 0.7500
```

Output
Formation energy (no corrections) (eV/atom): -1.03


Computed, not measured: crystalline Cs12Rb7Hg at its relaxed geometry at the PBE level of DFT.

The structure in POSCAR format:
```
Cs12Rb7Hg
1.0
13.1823 0.0000 4.6187
-6.5265 11.1696 4.5464
0.1293 0.0000 13.7116
Cs Rb Hg
12 7 1
direct
0.7739 0.2034 0.5398
0.9465 0.2599 0.8200
0.2335 0.1800 0.0799
0.0535 0.7401 0.1800
0.5705 0.2569 0.2034
0.3134 0.0799 0.7401
0.7665 0.8200 0.9201
0.2261 0.7966 0.4602
0.3136 0.5398 0.2569
0.6864 0.4602 0.7431
0.6866 0.9201 0.2599
0.4295 0.7431 0.7966
0.8661 0.8695 0.4804
0.6535 0.5196 0.3499
0.0034 0.3499 0.1305
0.3465 0.4804 0.6501
0.5000 0.0000 0.0000
0.1339 0.1305 0.5196
0.9966 0.6501 0.8695
0.0000 0.0000 0.0000
```

Output
Final energy (eV/atom): -0.867


Computed, not measured: crystalline PuHfSc6 at its relaxed geometry at the PBE level of DFT.

The structure in POSCAR format:
```
PuHfSc6
1.0
6.2621 -0.8844 -1.0004
-1.5630 6.1280 -1.0004
-1.5630 -1.7442 5.9592
Sc Pu Hf
6 1 1
direct
0.7462 0.2517 0.2517
0.2538 0.7482 0.7482
0.7482 0.7482 0.2538
0.7482 0.2538 0.7482
0.2517 0.7462 0.2517
0.2517 0.2517 0.7462
0.0000 0.0000 0.0000
0.5000 0.5000 0.5000
```

Output
ΔE to the lowest computed polymorph (meV/atom): 220.7


Computed, not measured: crystalline CaAgGe2 at its relaxed geometry at the PBE level of DFT.

The structure in POSCAR format:
```
CaAgGe2
1.0
-2.1967 3.7508 -0.8158
-1.7842 0.4256 6.7610
9.3369 5.9232 2.0911
Ag Ge Ca
4 8 4
direct
0.2500 0.6535 0.9410
0.2500 0.1535 0.5590
0.7500 0.8465 0.4410
0.7500 0.3465 0.0590
0.7500 0.4767 0.8368
0.2500 0.0233 0.3368
0.7500 0.3412 0.6312
0.2500 0.6588 0.3688
0.2500 0.1588 0.1312
0.7500 0.8412 0.8688
0.7500 0.9767 0.6632
0.2500 0.5233 0.1632
0.2500 0.6564 0.6468
0.2500 0.1564 0.8532
0.7500 0.8436 0.1468
0.7500 0.3436 0.3532
```

Output
Final energy (eV/atom): -3.871


Computed, not measured: crystalline SrZnAg2F6 at its relaxed geometry at the PBE level of DFT.

The structure in POSCAR format:
```
SrZnAg2F6
1.0
-1.9116 -5.2499 1.8925
-1.3947 -1.5589 -5.7331
7.9067 -3.0675 -1.0894
F Ag Sr Zn
12 4 2 2
direct
0.8273 0.7800 0.9273
0.8759 0.5611 0.2273
0.1727 0.2200 0.0727
0.7205 0.3197 0.9384
0.7795 0.8197 0.5616
0.6241 0.0611 0.2727
0.2205 0.1803 0.4384
0.3759 0.9389 0.7273
0.3273 0.7200 0.4273
0.1241 0.4389 0.7727
0.6727 0.2800 0.5727
0.2795 0.6803 0.0616
0.4807 0.4422 0.2507
0.5193 0.5578 0.7493
0.9807 0.0578 0.7507
0.0193 0.9422 0.2493
0.5000 0.0000 0.0000
0.0000 0.5000 0.5000
0.5000 0.0000 0.5000
0.0000 0.5000 0.0000
```

Output
Formation energy (no corrections) (eV/atom): -2.23


Computed, not measured: crystalline Cd2SbAu at its relaxed geometry at the PBE level of DFT.

The structure in POSCAR format:
```
Cd2SbAu
1.0
3.2616 0.0000 0.0000
0.0000 4.5100 0.0000
0.0000 0.0000 6.2164
Sb Cd Au
1 2 1
direct
0.0000 0.0000 0.4849
0.5000 0.5000 0.2527
0.0000 0.0000 0.9720
0.5000 0.5000 0.7904
```

Output
Formation energy (no corrections) (eV/atom): 0.05


Computed, not measured: crystalline Nd2Hg2Pd3 at its relaxed geometry at the PBE level of DFT.

The structure in POSCAR format:
```
Nd2Hg2Pd3
1.0
4.3028 0.0000 0.0000
0.0000 7.3975 0.2536
-2.1514 -1.6319 4.8317
Pd Hg Nd
3 2 2
direct
0.6656 0.2014 0.3312
0.3344 0.7986 0.6688
0.0000 0.0000 0.0000
0.8754 0.5703 0.7509
0.1246 0.4297 0.2491
0.6268 0.7920 0.2536
0.3732 0.2080 0.7464
```

Output
Final energy (eV/atom): -4.319


Computed, not measured: crystalline Tb3ThP4 at its relaxed geometry at the PBE level of DFT.

The structure in POSCAR format:
```
Tb3ThP4
1.0
-3.0007 1.8400 2.0350
-3.6620 0.6223 -5.9625
-1.6174 -6.0844 3.1165
Tb P Th
3 4 1
direct
0.0000 0.5000 0.0000
0.5000 0.5000 0.5000
0.0000 0.0000 0.5000
0.0000 0.2537 0.2537
0.5000 0.7487 0.2513
0.5000 0.2513 0.7487
0.0000 0.7463 0.7463
0.5000 0.0000 0.0000
```

Output
Final energy (eV/atom): -6.985


In the order shown, the computed volume values come out to 292 2012 196 349 308 91 156 189 Å³/cell.